DFT (PBE+U) results for a relaxed SrCr2GeO8 crystal.

POSCAR file:
```
SrCr2GeO8
1.0
4.277 -2.767 0.000
4.277 2.767 0.000
-0.383 0.000 7.283
Sr Cr Ge O
1 2 1 8
Cartesian
0.000 0.000 0.000
2.871 0.000 5.188
5.302 0.000 2.095
-0.191 0.000 3.642
1.640 0.000 3.986
3.850 1.457 5.046
4.322 1.457 2.237
2.156 0.000 6.689
6.016 0.000 0.594
3.850 -1.457 5.046
4.322 -1.457 2.237
6.533 0.000 3.297
```

Final energy ... -80.866 eV per cell
Total moment ... 2.0 μB per cell
Calculated volume ... 172 Å³ per cell